YZrTa4 after structural relaxation. Source: the Alexandria database, functional GGA-PBE.

Structure (extended XYZ):
```
6
Lattice="0.000 3.996 3.996 3.996 0.000 3.996 3.996 3.996 0.000" Properties=species:S:1:pos:R:3 pbc="T T T"
Y 0.000 0.000 0.000
Zr 5.994 5.994 5.994
Ta 2.996 2.996 2.996
Ta 4.996 4.996 2.996
Ta 4.996 2.996 4.996
Ta 2.996 4.996 4.996
```

The total energy comes out at -10.205 eV per atom. As for the space group: F-43m (216). As for the total magnetization: 0.001 μB per atom. The calculation puts the formation energy at 0.199 eV per atom.